# Zn2CoReAu | Alexandria via LeMat-Bulk | GGA-PBEsol | relaxed
# - magnetization (μB/cell) = 2.3
# - DFT formation energy (meV per atom) = 1685
data_Zn2CoReAu
_cell_length_a 4.7365
_cell_length_b 4.7365
_cell_length_c 4.8196
_cell_angle_alpha 90.00
_cell_angle_beta 90.00
_cell_angle_gamma 90.00
_symmetry_space_group_name_H-M 'P 4/m m m'
_symmetry_Int_Tables_number 123
_symmetry_space_group_name_Hall '-P 4 2'
loop_
_atom_site_label
_atom_site_type_symbol
_atom_site_fract_x
_atom_site_fract_y
_atom_site_fract_z
_atom_site_occupancy
Zn1 Zn 0.0000 0.5000 0.0000 1
Co1 Co 0.0000 0.0000 0.5000 1
Re1 Re 0.5000 0.5000 0.0000 1
Au1 Au 0.5000 0.5000 0.5000 1



# CoRhAu | Alexandria via LeMat-Bulk | GGA-PBEsol | relaxed
# - magnetization (μB/cell) = 11.7
# - offset from the most stable computed form (meV per atom) = 402
# - DFT formation energy (meV per atom) = 884
data_CoRhAu
_cell_length_a 5.8644
_cell_length_b 5.8644
_cell_length_c 5.8644
_cell_angle_alpha 90.00
_cell_angle_beta 90.00
_cell_angle_gamma 90.00
_symmetry_space_group_name_H-M 'F -4 3 m'
_symmetry_Int_Tables_number 216
_symmetry_space_group_name_Hall 'F -4 2 3'
loop_
_atom_site_label
_atom_site_type_symbol
_atom_site_fract_x
_atom_site_fract_y
_atom_site_fract_z
_atom_site_occupancy
Co1 Co 0.0000 0.0000 0.0000 1
Rh1 Rh 0.0000 0.0000 0.5000 1
Au1 Au 0.2500 0.2500 0.7500 1



# CoRhAu | Alexandria via LeMat-Bulk | GGA-PBEsol | relaxed
# - magnetization (μB/cell) = 11.8
# - offset from the most stable computed form (meV per atom) = 0
# - DFT formation energy (meV per atom) = 481
data_CoRhAu
_cell_length_a 5.7190
_cell_length_b 5.7190
_cell_length_c 5.7190
_cell_angle_alpha 90.00
_cell_angle_beta 90.00
_cell_angle_gamma 90.00
_symmetry_space_group_name_H-M 'F -4 3 m'
_symmetry_Int_Tables_number 216
_symmetry_space_group_name_Hall 'F -4 2 3'
loop_
_atom_site_label
_atom_site_type_symbol
_atom_site_fract_x
_atom_site_fract_y
_atom_site_fract_z
_atom_site_occupancy
Co1 Co 0.0000 0.0000 0.0000 1
Rh1 Rh 0.2500 0.2500 0.2500 1
Au1 Au 0.2500 0.2500 0.7500 1